1.
! TaSe2N, PBEsol geometry, DFT SCAN; values from VASP
&SYSTEM
  ibrav = 0, nat = 4, ntyp = 3
/
ATOMIC_SPECIES
N 14.01 N.upf
Se 78.96 Se.upf
Ta 180.95 Ta.upf
CELL_PARAMETERS angstrom
-2.7780 1.6890 1.1199
-2.1772 -1.5264 2.1804
1.9699 2.4848 6.4181
ATOMIC_POSITIONS angstrom
N 0.0000 0.0000 0.0000
Se -4.0205 0.7899 4.6729
Se 1.0351 1.8575 5.0455
Ta -1.4927 1.3237 4.8592
! **V**: 17.608 Å³ per atom
! **Mass density**: 8.3 g/cm3
! **Symmetry**: R-3m (166)
! **Energy relative to the elements, uncorrected**: 0.510 eV per atom
! **E_tot**: -113.99 eV/cell
! **Total magnetization**: 0.00 μB/f.u.

2.
! Ta3SeN, PBEsol geometry, DFT SCAN; values from VASP
&SYSTEM
  ibrav = 0, nat = 5, ntyp = 3
/
ATOMIC_SPECIES
N 14.01 N.upf
Se 78.96 Se.upf
Ta 180.95 Ta.upf
CELL_PARAMETERS angstrom
-2.8869 2.0577 2.2879
-2.1098 -3.6073 0.5821
2.2399 -0.7458 3.4971
ATOMIC_POSITIONS angstrom
N 0.0000 0.0000 0.0000
Se -1.3784 -1.1477 3.1835
Ta -1.0549 -1.8036 0.2910
Ta 1.1199 -0.3729 1.7485
Ta -1.4435 1.0288 1.1439
! **V**: 15.023 Å³ per atom
! **Mass density**: 14.1 g/cm3
! **Symmetry**: Pm-3m (221)
! **Energy relative to the elements, uncorrected**: -0.062 eV per atom
! **E_tot**: -229.43 eV/cell
! **ΔE to the lowest computed polymorph**: 0.00 eV/f.u.
! **Total magnetization**: 0.00 μB/f.u.

3.
! TaTe2SeN, PBEsol geometry, DFT SCAN; values from VASP
&SYSTEM
  ibrav = 0, nat = 5, ntyp = 4
/
ATOMIC_SPECIES
N 14.01 N.upf
Te 127.60 Te.upf
Se 78.96 Se.upf
Ta 180.95 Ta.upf
CELL_PARAMETERS angstrom
-0.2633 -2.9822 1.9512
3.6017 -2.4266 -3.2229
4.0146 1.7291 3.1845
ATOMIC_POSITIONS angstrom
N -0.1316 -1.4911 0.9756
Te 2.0073 0.8646 1.5923
Te 1.8008 -1.2133 -1.6114
Se 0.0000 0.0000 0.0000
Ta 3.6765 -1.8399 0.9564
! **V**: 20.903 Å³ per atom
! **Mass density**: 8.4 g/cm3
! **Symmetry**: P4/mmm (123)
! **Energy relative to the elements, uncorrected**: 1.284 eV per atom
! **E_tot**: -164.03 eV/cell
! **Total magnetization**: 1.89 μB/f.u.

4.
! TaTlSeN2, PBEsol geometry, DFT SCAN; values from VASP
&SYSTEM
  ibrav = 0, nat = 5, ntyp = 4
/
ATOMIC_SPECIES
Tl 204.38 Tl.upf
N 14.01 N.upf
Se 78.96 Se.upf
Ta 180.95 Ta.upf
CELL_PARAMETERS angstrom
-3.9486 -0.1675 0.8148
0.4341 -3.7867 1.3250
0.9431 1.8398 4.9488
ATOMIC_POSITIONS angstrom
Tl -1.2857 -1.0572 3.5443
N 0.2170 -1.8934 0.6625
N -1.9743 -0.0838 0.4074
Se 0.4716 0.9199 2.4744
Ta 0.0000 0.0000 0.0000
! **V**: 17.467 Å³ per atom
! **Mass density**: 9.4 g/cm3
! **Symmetry**: P4/mmm (123)
! **Energy relative to the elements, uncorrected**: -0.013 eV per atom
! **E_tot**: -177.67 eV/cell
! **Total magnetization**: 0.97 μB/f.u.

5.
! YTaSeN2, PBEsol geometry, DFT SCAN; values from VASP
&SYSTEM
  ibrav = 0, nat = 5, ntyp = 4
/
ATOMIC_SPECIES
Y 88.91 Y.upf
N 14.01 N.upf
Se 78.96 Se.upf
Ta 180.95 Ta.upf
CELL_PARAMETERS angstrom
-4.1411 0.0935 -0.5064
0.1208 -3.8127 -1.6920
-0.6364 -2.1536 4.8073
ATOMIC_POSITIONS angstrom
Y 0.0000 0.0000 0.0000
N 0.0604 -1.9063 -0.8460
N -2.0706 0.0467 -0.2532
Se -0.3182 -1.0768 2.4036
Ta -2.3284 -2.9364 1.3044
! **V**: 18.479 Å³ per atom
! **Mass density**: 6.8 g/cm3
! **Symmetry**: P4/mmm (123)
! **Energy relative to the elements, uncorrected**: 1.026 eV per atom
! **E_tot**: -127.96 eV/cell
! **Total magnetization**: 0.00 μB/f.u.

6.
! TcTeSeN2, PBEsol geometry, DFT SCAN; values from VASP
&SYSTEM
  ibrav = 0, nat = 5, ntyp = 4
/
ATOMIC_SPECIES
Te 127.60 Te.upf
Tc 98.00 Tc.upf
Se 78.96 Se.upf
N 14.01 N.upf
CELL_PARAMETERS angstrom
3.8815 0.0000 0.0000
0.0000 3.8815 0.0000
0.0000 0.0000 5.2748
ATOMIC_POSITIONS angstrom
Te 1.9408 1.9408 2.6374
Tc 0.0000 0.0000 0.0000
Se 0.0000 0.0000 2.6374
N 0.0000 1.9408 0.0000
N 1.9408 0.0000 0.0000
! **V**: 15.894 Å³ per atom
! **Mass density**: 6.9 g/cm3
! **Symmetry**: P4/mmm (123)
! **Energy relative to the elements, uncorrected**: 0.644 eV per atom
! **E_tot**: -107.75 eV/cell
! **Total magnetization**: 0.98 μB/f.u.

7.
! ZrTcSeN2, PBEsol geometry, DFT SCAN; values from VASP
&SYSTEM
  ibrav = 0, nat = 5, ntyp = 4
/
ATOMIC_SPECIES
Se 78.96 Se.upf
Tc 98.00 Tc.upf
Zr 91.22 Zr.upf
N 14.01 N.upf
CELL_PARAMETERS angstrom
3.8340 0.0000 0.0000
0.0000 3.8340 0.0000
0.0000 0.0000 4.9693
ATOMIC_POSITIONS angstrom
Se 0.0000 0.0000 2.4846
Tc 0.0000 0.0000 0.0000
Zr 1.9170 1.9170 2.4846
N 0.0000 1.9170 0.0000
N 1.9170 0.0000 0.0000
! **V**: 14.609 Å³ per atom
! **Mass density**: 6.7 g/cm3
! **Symmetry**: P4/mmm (123)
! **Energy relative to the elements, uncorrected**: 0.097 eV per atom
! **E_tot**: -103.93 eV/cell
! **Total magnetization**: 0.00 μB/f.u.

8.
! ZnTe2SeN, PBEsol geometry, DFT SCAN; values from VASP
&SYSTEM
  ibrav = 0, nat = 5, ntyp = 4
/
ATOMIC_SPECIES
Zn 65.41 Zn.upf
Te 127.60 Te.upf
Se 78.96 Se.upf
N 14.01 N.upf
CELL_PARAMETERS angstrom
-0.1116 -0.5710 -3.5739
3.8094 -4.1047 0.5368
-4.1360 -3.7434 0.7273
ATOMIC_POSITIONS angstrom
Zn -0.2191 -4.2095 -1.1549
Te -2.0680 -1.8717 0.3637
Te 1.9047 -2.0523 0.2684
Se 0.0000 0.0000 0.0000
N -0.0558 -0.2855 -1.7870
! **V**: 22.919 Å³ per atom
! **Mass density**: 6.0 g/cm3
! **Symmetry**: P4/mmm (123)
! **Energy relative to the elements, uncorrected**: 0.989 eV per atom
! **E_tot**: -112.44 eV/cell
! **Total magnetization**: 0.00 μB/f.u.